## Rb2SiSbRu (PBE)

Data for a geometry-optimized Rb2SiSbRu structure.

The structure in POSCAR format:
```
Rb2SiSbRu
1.0
6.528 0.000 0.000
0.000 4.503 0.000
0.000 0.000 6.528
Sb Si Rb Ru
1 1 2 1
direct
0.500 0.500 0.500
0.000 0.500 0.000
0.000 0.000 0.500
0.500 0.000 0.000
0.000 0.000 0.000
```

The uncorrected formation energy comes out at 705.8 meV/atom. The value obtained for the electronic total energy is -0.1266 Ha/atom. The value obtained for the total magnetization is 2.345 μB per formula unit.


## ReNiIr2 (PBE)

Data for a geometry-optimized ReNiIr2 structure.

The structure in POSCAR format:
```
ReNiIr2
1.0
-2.675 -0.124 -0.485
0.650 -3.714 -2.637
-0.532 -2.663 3.619
Ir Ni Re
2 1 1
direct
0.000 0.000 0.000
0.500 0.500 0.000
0.500 0.000 0.500
0.000 0.500 0.500
```

For the energy relative to the lowest polymorph listed for this composition, the calculation gives 0.4315 eV per atom. The value obtained for the electronic total energy is -0.3198 Ha/atom. The value obtained for the total magnetization is 0.000 μB per formula unit. The formation energy from the elements is 286 meV/atom.


## InAsNO2 (PBE)

Data for a geometry-optimized InAsNO2 structure.

The structure in POSCAR format:
```
InAsNO2
1.0
-2.657 1.570 -2.667
-3.074 -0.926 2.517
0.370 3.725 1.823
O As In N
2 1 1 1
direct
0.000 0.500 0.000
0.500 0.000 0.000
0.500 0.500 0.500
0.000 0.000 0.000
0.000 0.000 0.500
```

The uncorrected formation energy comes out at 608.9 meV/atom. The value obtained for the electronic total energy is -0.1660 Ha/atom. The value obtained for the total magnetization is 0.003 μB per formula unit.


## ZrHgRu2 (PBE)

Data for a geometry-optimized ZrHgRu2 structure.

The structure in POSCAR format:
```
ZrHgRu2
1.0
2.907 0.013 0.000
-0.013 2.907 0.000
0.000 0.000 8.282
Zr Ru Hg
1 2 1
direct
0.000 0.000 0.480
0.000 0.000 0.030
0.500 0.500 0.222
0.500 0.500 0.768
```

The value obtained for the electronic total energy is -0.2498 Ha/atom. The value obtained for the total magnetization is 0.213 μB per formula unit. The formation energy from the elements is 53 meV/atom.


- The lowest electronic total energy belongs to which entry?
  ReNiIr2


- total magnetization of number 3 (InAsNO2)?
  0.003 μB per formula unit